# Ho12GaNi5

Crystalline Ho12GaNi5 at its relaxed geometry (PBE, Alexandria via LeMat-Bulk).

Lattice parameters (Å, degrees): 8.2231 8.2231 8.2231 107.11 111.52 109.82
Closest atoms and distances in Å follow each position.
Fractional positions:
Ho 0.1894 0.9693 0.7798  2 Ni 2.69-2.80
Ho 0.8106 0.0307 0.2202  2 Ni 2.69-2.80
Ho 0.1894 0.4096 0.2202  2 Ni 2.69-2.80
Ho 0.3031 0.6755 0.9786  3 Ni 2.67-2.83
Ho 0.6969 0.6755 0.3724  3 Ni 2.67-2.83
Ho 0.8908 0.1812 0.7096  4 Ni 2.86-3.19
Ho 0.6969 0.3245 0.0214  3 Ni 2.67-2.83
Ho 0.1092 0.8188 0.2904  4 Ni 2.86-3.19
Ho 0.5284 0.8188 0.7096  4 Ni 2.86-3.19
Ho 0.3031 0.3245 0.6276  3 Ni 2.67-2.83
Ho 0.8106 0.5904 0.7798  2 Ni 2.69-2.80
Ho 0.4716 0.1812 0.2904  4 Ni 2.86-3.19
Ni 0.5000 0.8755 0.3755  1 Ni 2.43, 2 Ho 2.67
Ni 0.6401 0.6401 0.0000  1 Ni 2.65, 6 Ho 2.69-2.83
Ni 0.0000 0.0000 0.0000  4 Ho 2.80
Ni 0.5000 0.1245 0.6245  1 Ni 2.43, 2 Ho 2.67
Ni 0.3599 0.3599 0.0000  1 Ni 2.65, 6 Ho 2.69-2.83
Ga 0.0000 0.5000 0.5000  12 Ho 3.27-3.58

* VASP energy: -93.2 eV for the cell shown
* DFT formation energy: -6.299 eV per formula unit
* density of states at the Fermi level: 16.66 states/eV/cell
* space-group type: Immm (71)
* crystal system: orthorhombic

---

# Na2Te2O5

Crystalline Na2Te2O5 at its relaxed geometry (PBE, Alexandria via LeMat-Bulk).

Lattice parameters (Å, degrees): 4.9507 10.0318 12.2271 102.67 101.68 90.00
Closest atoms and distances in Å follow each position.
Fractional positions:
O 0.5626 0.3617 0.0889  1 Te 1.92
O 0.1613 0.1556 0.1040  1 Te 1.88
O 0.6334 0.2515 0.2894  2 Te 2.02-2.11
O 0.0012 0.8664 0.4917  1 Te 1.94
O 0.0573 0.3444 0.8960  1 Te 1.88
O 0.9988 0.1336 0.5083  1 Te 1.94
O 0.8387 0.8444 0.8960  1 Te 1.88
O 0.4737 0.1383 0.9111  1 Te 1.92
O 0.2383 0.4664 0.2964  1 Te 1.86
O 0.7617 0.5336 0.7036  1 Te 1.86
O 0.9427 0.6556 0.1040  1 Te 1.88
O 0.4905 0.3664 0.4917  1 Te 1.94
O 0.3440 0.2485 0.7106  2 Te 2.02-2.11
O 0.0581 0.9664 0.2964  1 Te 1.86
O 0.3666 0.7485 0.7106  2 Te 2.02-2.11
O 0.6560 0.7515 0.2894  2 Te 2.02-2.11
O 0.5095 0.6336 0.5083  1 Te 1.94
O 0.4374 0.6383 0.9111  1 Te 1.92
O 0.9419 0.0336 0.7036  1 Te 1.86
O 0.5263 0.8617 0.0889  1 Te 1.92
Te 0.4558 0.8186 0.8821  3 O 1.88-2.02
Te 0.2146 0.0468 0.6218  2 O 1.86-1.94
Te 0.5928 0.4532 0.3782  2 O 1.86-1.94
Te 0.5737 0.6814 0.1179  3 O 1.88-2.02
Te 0.4263 0.3186 0.8821  3 O 1.88-2.02
Te 0.5442 0.1814 0.1179  3 O 1.88-2.02
Te 0.7854 0.9532 0.3782  2 O 1.86-1.94
Te 0.4072 0.5468 0.6218  2 O 1.86-1.94
Na 0.9391 0.5868 0.8962  4 O 2.28-2.50
Na 0.1864 0.7071 0.3438  5 O 2.38-2.64
Na 0.8426 0.7929 0.6562  5 O 2.38-2.64
Na 0.9572 0.0868 0.8962  4 O 2.28-2.50
Na 0.0428 0.9132 0.1038  4 O 2.28-2.50
Na 0.0609 0.4132 0.1038  4 O 2.28-2.50
Na 0.8136 0.2929 0.6562  5 O 2.38-2.64
Na 0.1574 0.2071 0.3438  5 O 2.38-2.64

* VASP energy: -183.7 eV for the cell shown
* density of states at the Fermi level: 0.00 states/eV/cell
* space-group type: C2/c (15)
* crystal system: monoclinic

---

# Y4Fe2Si

Crystalline Y4Fe2Si at its relaxed geometry (PBE, Alexandria via LeMat-Bulk).

Lattice parameters (Å, degrees): 9.1949 9.1949 3.9538 90.00 90.00 90.00
Closest atoms and distances in Å follow each position.
Fractional positions:
Y 0.5004 0.2340 0.5000  2 Fe 2.68
Y 0.4996 0.7660 0.5000  2 Fe 2.68
Y 0.0004 0.2660 0.0000  2 Fe 2.68
Y 0.7340 0.9996 0.0000  2 Fe 2.68
Y 0.7660 0.4996 0.5000  2 Fe 2.68
Y 0.2660 0.0004 0.0000  2 Fe 2.68
Y 0.9996 0.7340 0.0000  2 Fe 2.68
Y 0.2340 0.5004 0.5000  2 Fe 2.68
Fe 0.3263 0.6737 0.0000  1 Si 2.26
Fe 0.1737 0.1737 0.5000  1 Si 2.26
Fe 0.8263 0.8263 0.5000  1 Si 2.26
Fe 0.6737 0.3263 0.0000  1 Si 2.26
Si 0.5000 0.5000 0.0000  2 Fe 2.26
Si 0.0000 0.0000 0.5000  2 Fe 2.26

* VASP energy: -96.8 eV for the cell shown
* density of states at the Fermi level: 15.06 states/eV/cell
* space-group type: P4_2/mnm (136)
* crystal system: tetragonal